Compound: MgSbMoO6
Source: Alexandria via LeMat-Bulk
Functional: PBE+U
Structure: relaxed

Cell lengths 5.2393, 5.2393, 9.1269 Å; angles 90.00, 90.00, 120.00 degrees
Last column: nearest neighbours and their distance in Å.
Element x y z (fractional)
O: 0.3471 0.9975 0.1329  1 Mo 2.01, 1 Sb 2.02, 1 Mg 2.19
O: 0.6504 0.6529 0.1329  1 Mo 2.01, 1 Sb 2.02, 1 Mg 2.19
O: 0.6529 0.6504 0.6329  1 Mo 2.01, 1 Sb 2.02, 1 Mg 2.19
O: 0.3496 0.3471 0.8671  1 Mo 2.01, 1 Sb 2.02, 1 Mg 2.19
O: 0.0025 0.3496 0.1329  1 Mo 2.01, 1 Sb 2.02, 1 Mg 2.19
O: 0.9975 0.3471 0.6329  1 Mo 2.01, 1 Sb 2.02, 1 Mg 2.19
O: 0.9975 0.6504 0.8671  1 Mo 2.01, 1 Sb 2.02, 1 Mg 2.19
O: 0.3496 0.0025 0.6329  1 Mo 2.01, 1 Sb 2.02, 1 Mg 2.19
O: 0.6529 0.0025 0.8671  1 Mo 2.01, 1 Sb 2.02, 1 Mg 2.19
O: 0.6504 0.9975 0.3671  1 Mo 2.01, 1 Sb 2.02, 1 Mg 2.19
O: 0.0025 0.6529 0.3671  1 Mo 2.01, 1 Sb 2.02, 1 Mg 2.19
O: 0.3471 0.3496 0.3671  1 Mo 2.01, 1 Sb 2.02, 1 Mg 2.19
Mo: 0.3333 0.6667 0.2500  6 O 2.01
Mo: 0.6667 0.3333 0.7500  6 O 2.01
Mg: 0.0000 0.0000 0.0000  6 O 2.19
Mg: 0.0000 0.0000 0.5000  6 O 2.19
Sb: 0.6667 0.3333 0.2500  6 O 2.02
Sb: 0.3333 0.6667 0.7500  6 O 2.02

## Properties
Symmetry: P-31c, No. 163
VASP energy (eV/cell): -115.685